## TaTeBr2 (GGA-PBE)

Data for a geometry-optimized TaTeBr2 structure.

M_tot   0.0 μB/f.u.
Calculated density   7.4 g/cm³
Calculated total energy   -4.6884 eV/atom
Polymorph energy (0 for the lowest one)   129.7 kJ/mol of formula units
ΔE_f (raw)   -103.4 meV/atom

Cell: 3.284 3.284 9.726 Å, 90.00 90.00 90.00°
Space group P4mm (No. 99)
Inequivalent atoms, fractional coordinates:
Ta 0.000 0.000 0.000 (multiplicity 1)
Te 0.500 0.500 0.175 (multiplicity 1)
Br 0.000 0.000 0.496 (multiplicity 1)
Br 0.500 0.500 0.826 (multiplicity 1)